Compound: KIr2Os
Source: Alexandria
Functional: GGA-PBE
Structure: relaxed

## Properties
The volume is 67.63 Å³/cell. As for the formation energy: 1.195 eV/atom. The calculation puts the density of states at the Fermi level at 6.77 states/eV/f.u. The value obtained for the excess energy over the best structure of this formula in the dataset is 2.855 eV per formula unit.

Cell lengths 5.0017, 5.0017, 2.7034 Å; angles 90.00, 90.00, 90.00 degrees
Fractional coordinates of all 4 atoms:
Ir: 0.0000 0.0000 0.0000
Ir: 0.5000 0.5000 0.0000
K: 0.5000 0.0000 0.5000
Os: 0.0000 0.5000 0.5000

---

Compound: Pr3ZnCu4
Source: Alexandria
Functional: GGA-PBE
Structure: relaxed

## Properties
The volume is 187.25 Å³/cell. As for the formation energy: -0.029 eV/atom. The calculation puts the density of states at the Fermi level at 8.28 states/eV/f.u.

Cell lengths 4.1448, 6.3661, 8.0493 Å; angles 113.29, 104.92, 90.00 degrees
Fractional coordinates of all 8 atoms:
Pr: 0.1909 0.1909 0.3817
Pr: 0.8091 0.8091 0.6183
Pr: 0.0000 0.5000 0.0000
Zn: 0.5000 0.0000 0.0000
Cu: 0.3817 0.5799 0.7634
Cu: 0.6183 0.4201 0.2366
Cu: 0.6183 0.8165 0.2366
Cu: 0.3817 0.1835 0.7634

---

Compound: ZrIBrN2
Source: Alexandria
Functional: GGA-PBE
Structure: relaxed

## Properties
The volume is 98.51 Å³/cell. The calculation puts the density of states at the Fermi level at 4.15 states/eV/f.u. The value obtained for the excess energy over the best structure of this formula in the dataset is 7.158 eV per formula unit. The uncorrected formation energy is 1947 meV/atom.

Cell lengths 4.0824, 4.0824, 5.9109 Å; angles 90.00, 90.00, 90.00 degrees
Fractional coordinates of all 5 atoms:
I: 0.0000 0.0000 0.5000
Br: 0.0000 0.0000 0.0000
Zr: 0.5000 0.5000 0.5000
N: 0.0000 0.5000 0.0000
N: 0.5000 0.0000 0.0000

---

Compound: Tb3DyS4
Source: Alexandria
Functional: GGA-PBE
Structure: relaxed

## Properties
The volume is 170.61 Å³/cell. The calculation puts the density of states at the Fermi level at 4.38 states/eV/f.u. The value obtained for the excess energy over the best structure of this formula in the dataset is 0.068 eV per formula unit. The uncorrected formation energy is -1995 meV/atom.

Cell lengths 5.5463, 5.5463, 5.5463 Å; angles 90.00, 90.00, 90.00 degrees
Fractional coordinates of all 8 atoms:
Tb: 0.0000 0.5000 0.5000
Tb: 0.5000 0.0000 0.5000
Tb: 0.5000 0.5000 0.0000
Dy: 0.0000 0.0000 0.0000
S: 0.5000 0.0000 0.0000
S: 0.0000 0.5000 0.0000
S: 0.0000 0.0000 0.5000
S: 0.5000 0.5000 0.5000

---

Compound: Cs2MgUSe4
Source: Alexandria
Functional: GGA-PBE
Structure: relaxed

## Properties
The volume is 680.93 Å³/cell. The calculation puts the density of states at the Fermi level at 7.78 states/eV/f.u. The uncorrected formation energy is -1107 meV/atom.

Cell lengths 6.6959, 8.3556, 13.6990 Å; angles 84.38, 75.85, 66.38 degrees
Fractional coordinates of all 16 atoms:
Cs: 0.1793 0.0000 0.6413
Cs: 0.8207 0.0000 0.3587
Cs: 0.5707 0.5000 0.8587
Cs: 0.9293 0.5000 0.1413
Mg: 0.2500 0.5000 0.5000
Mg: 0.5000 0.0000 0.0000
U: 0.7500 0.5000 0.5000
U: 0.0000 0.0000 0.0000
Se: 0.3055 0.7993 0.1038
Se: 0.2086 0.2007 0.8962
Se: 0.8952 0.7993 0.8962
Se: 0.5908 0.2007 0.1038
Se: 0.4445 0.7007 0.3962
Se: 0.5414 0.2993 0.6038
Se: 0.8548 0.7007 0.6038
Se: 0.1592 0.2993 0.3962

---

Compound: CaSb2PbI
Source: Alexandria
Functional: GGA-PBE
Structure: relaxed

## Properties
The volume is 206.83 Å³/cell. The calculation puts the density of states at the Fermi level at 6.59 states/eV/f.u. The value obtained for the excess energy over the best structure of this formula in the dataset is 0.000 eV per formula unit. The uncorrected formation energy is 177 meV/atom.

Cell lengths 5.7870, 5.7870, 6.1759 Å; angles 90.00, 90.00, 90.00 degrees
Fractional coordinates of all 5 atoms:
Pb: 0.0000 0.0000 0.0000
I: 0.0000 0.0000 0.5000
Ca: 0.5000 0.5000 0.5000
Sb: 0.0000 0.5000 0.0000
Sb: 0.5000 0.0000 0.0000

---

Compound: Li2TiRuO
Source: Alexandria
Functional: GGA-PBE
Structure: relaxed

## Properties
The volume is 87.29 Å³/cell. The calculation puts the density of states at the Fermi level at 9.13 states/eV/f.u. The uncorrected formation energy is 353 meV/atom.

Cell lengths 4.9449, 3.5697, 4.9449 Å; angles 90.00, 90.00, 90.00 degrees
Fractional coordinates of all 5 atoms:
Ru: 0.5000 0.5000 0.5000
Li: 0.0000 0.0000 0.5000
Li: 0.5000 0.0000 0.0000
O: 0.0000 0.5000 0.0000
Ti: 0.0000 0.0000 0.0000

---

Compound: PrDy3
Source: Alexandria
Functional: GGA-PBE
Structure: relaxed

## Properties
The volume is 130.37 Å³/cell. As for the formation energy: 0.020 eV/atom. The calculation puts the density of states at the Fermi level at 5.40 states/eV/f.u. The value obtained for the excess energy over the best structure of this formula in the dataset is 0.012 eV per formula unit.

Cell lengths 6.2042, 6.2042, 6.2042 Å; angles 131.71, 131.71, 70.68 degrees
Fractional coordinates of all 4 atoms:
Pr: 0.0000 0.0000 0.0000
Dy: 0.7500 0.2500 0.5000
Dy: 0.2500 0.7500 0.5000
Dy: 0.5000 0.5000 0.0000

---

Compound: FeNiOs2
Source: Alexandria
Functional: GGA-PBE
Structure: relaxed

## Properties
The volume is 50.07 Å³/cell. As for the formation energy: 0.158 eV/atom. The calculation puts the density of states at the Fermi level at 4.25 states/eV/f.u. The value obtained for the excess energy over the best structure of this formula in the dataset is 0.217 eV per formula unit.

Cell lengths 3.9813, 2.6270, 4.9642 Å; angles 74.67, 90.00, 90.00 degrees
Fractional coordinates of all 4 atoms:
Fe: 0.0000 0.6906 0.4936
Ni: 0.5000 0.5598 0.7563
Os: 0.0000 0.9534 0.9683
Os: 0.5000 0.2963 0.2818

---

Compound: La4NiPb8
Source: Alexandria
Functional: GGA-PBE
Structure: relaxed

## Properties
The volume is 392.63 Å³/cell. As for the formation energy: -0.451 eV/atom. The calculation puts the density of states at the Fermi level at 8.01 states/eV/f.u.

Cell lengths 4.6803, 4.7469, 17.6729 Å; angles 90.00, 90.00, 90.00 degrees
Fractional coordinates of all 13 atoms:
La: 0.0000 0.0000 0.0980
La: 0.0000 0.5000 0.6014
La: 0.5000 0.5000 0.3968
La: 0.5000 0.0000 0.9005
Ni: 0.0000 0.0000 0.3080
Pb: 0.0000 0.0000 0.4540
Pb: 0.0000 0.5000 0.9327
Pb: 0.5000 0.5000 0.0575
Pb: 0.5000 0.0000 0.5741
Pb: 0.0000 0.5000 0.2386
Pb: 0.0000 0.0000 0.7491
Pb: 0.5000 0.0000 0.2384
Pb: 0.5000 0.5000 0.7538

---

Compound: Dy3Al2Cu9
Source: Alexandria
Functional: GGA-PBE
Structure: relaxed

## Properties
The volume is 227.73 Å³/cell. As for the formation energy: -0.286 eV/atom. The calculation puts the density of states at the Fermi level at 7.13 states/eV/f.u.

Cell lengths 4.2101, 7.9015, 7.9015 Å; angles 66.03, 74.55, 74.55 degrees
Fractional coordinates of all 14 atoms:
Dy: 0.0000 0.0000 0.0000
Dy: 0.7122 0.2878 0.2878
Dy: 0.2878 0.7122 0.7122
Al: 0.5000 0.3180 0.6820
Al: 0.5000 0.6820 0.3180
Cu: 0.0000 0.5000 0.5000
Cu: 0.6612 0.9840 0.6936
Cu: 0.3388 0.0160 0.3064
Cu: 0.6612 0.6936 0.9840
Cu: 0.3388 0.3064 0.0160
Cu: 0.8681 0.8439 0.4199
Cu: 0.1319 0.1561 0.5801
Cu: 0.8681 0.4199 0.8439
Cu: 0.1319 0.5801 0.1561

---

Compound: AcMnCo4
Source: Alexandria
Functional: GGA-PBE
Structure: relaxed

## Properties
The volume is 93.07 Å³/cell. As for the formation energy: 0.205 eV/atom. The calculation puts the density of states at the Fermi level at 10.13 states/eV/f.u.

Cell lengths 5.0868, 5.0868, 5.0868 Å; angles 60.00, 60.00, 60.00 degrees
Fractional coordinates of all 6 atoms:
Ac: 0.2500 0.2500 0.2500
Mn: 0.0000 0.0000 0.0000
Co: 0.6269 0.6269 0.1192
Co: 0.6269 0.1192 0.6269
Co: 0.6269 0.6269 0.6269
Co: 0.1192 0.6269 0.6269

---

| no. | calculated total energy (Ry per atom) |
| --- | --- |
| 1 | -0.4643 |
| 2 | -0.2961 |
| 3 | -0.2747 |
| 4 | -0.4682 |
| 5 | -0.3435 |
| 6 | -0.2149 |
| 7 | -0.3556 |
| 8 | -0.3400 |
| 9 | -0.6628 |
| 10 | -0.3450 |
| 11 | -0.3264 |
| 12 | -0.4958 |